(1)
This record from Alexandria describes SrRuN3 after structural relaxation. The functional is PBE.

Summary:
As for the energy relative to the elements, uncorrected: 0.2670 eV/atom. As for the electronic total energy: -6.9198 eV per atom.

a b c (Å): 3.9354 3.9354 3.9354
angles (deg): 90.00 90.00 90.00
Fractional coordinates of all 5 atoms:
Sr 0.0000 0.0000 0.0000
Ru 0.5000 0.5000 0.5000
N 0.0000 0.5000 0.5000
N 0.5000 0.0000 0.5000
N 0.5000 0.5000 0.0000

***

(2)
This record from Alexandria describes SrRuN after structural relaxation. The functional is PBE.

Summary:
As for the energy relative to the elements, uncorrected: -0.0083 eV/atom. As for the electronic total energy: -6.4359 eV per atom.

a b c (Å): 3.3857 3.3857 5.0972
angles (deg): 90.00 90.00 120.00
Fractional coordinates of all 3 atoms:
Sr 0.0000 0.0000 0.0000
Ru 0.3333 0.6667 0.5305
N 0.6667 0.3333 0.6484

***

(3)
This record from Alexandria describes Sr3Ru2N4 after structural relaxation. The functional is PBE.

Summary:
As for the energy relative to the elements, uncorrected: -0.2713 eV/atom. As for the electronic total energy: -6.5933 eV per atom.

a b c (Å): 7.2750 7.2750 5.6442
angles (deg): 92.30 92.30 76.30
Fractional coordinates of all 18 atoms:
Sr 0.0981 0.9019 0.7500
Sr 0.2432 0.5146 0.4573
Sr 0.4854 0.7568 0.0427
Sr 0.5146 0.2432 0.9573
Sr 0.7568 0.4854 0.5427
Sr 0.9019 0.0981 0.2500
Ru 0.0776 0.3358 0.9111
Ru 0.3358 0.0776 0.4111
Ru 0.6642 0.9224 0.5889
Ru 0.9224 0.6642 0.0889
N 0.1057 0.2297 0.5847
N 0.1991 0.5606 0.9708
N 0.2297 0.1057 0.0847
N 0.4394 0.8009 0.5292
N 0.5606 0.1991 0.4708
N 0.7703 0.8943 0.9153
N 0.8009 0.4394 0.0292
N 0.8943 0.7703 0.4153

***

(4)
This record from Alexandria describes Sr2RuN after structural relaxation. The functional is PBE.

Summary:
As for the energy relative to the elements, uncorrected: -0.3205 eV/atom. As for the electronic total energy: -5.5618 eV per atom.

a b c (Å): 7.7558 7.7558 7.7558
angles (deg): 93.49 93.49 151.42
Fractional coordinates of all 8 atoms:
Sr 0.3750 0.0757 0.2007
Sr 0.8257 0.6250 0.7007
Sr 0.8750 0.1743 0.7993
Sr 0.9243 0.1250 0.2993
Ru 0.2500 0.7500 0.5000
Ru 0.5000 0.5000 0.0000
N 0.0000 0.0000 0.0000
N 0.7500 0.2500 0.5000

***

(5)
This record from Alexandria describes SrRu3N after structural relaxation. The functional is PBE.

Summary:
As for the energy relative to the elements, uncorrected: 0.3831 eV/atom. The energy above the most stable polymorph in this dataset comes out at 0 meV per atom. As for the electronic total energy: -7.1838 eV per atom.

a b c (Å): 4.2239 4.2239 4.2239
angles (deg): 90.00 90.00 90.00
Fractional coordinates of all 5 atoms:
Sr 0.0000 0.0000 0.0000
Ru 0.0000 0.5000 0.5000
Ru 0.5000 0.0000 0.5000
Ru 0.5000 0.5000 0.0000
N 0.5000 0.5000 0.5000

***

(6)
This record from Alexandria describes Sr3RuN3 after structural relaxation. The functional is PBE.

Summary:
As for the energy relative to the elements, uncorrected: -0.5484 eV/atom. The energy above the most stable polymorph in this dataset comes out at 0 meV per atom. As for the electronic total energy: -6.1623 eV per atom.

a b c (Å): 7.0414 7.0414 5.3915
angles (deg): 90.00 90.00 101.57
Fractional coordinates of all 14 atoms:
Sr 0.1078 0.8922 0.7500
Sr 0.1729 0.4078 0.7500
Sr 0.4078 0.1729 0.2500
Sr 0.5922 0.8271 0.7500
Sr 0.8271 0.5922 0.2500
Sr 0.8922 0.1078 0.2500
Ru 0.3031 0.6969 0.2500
Ru 0.6969 0.3031 0.7500
N 0.1250 0.8750 0.2500
N 0.1807 0.4331 0.2500
N 0.4331 0.1807 0.7500
N 0.5669 0.8193 0.2500
N 0.8193 0.5669 0.7500
N 0.8750 0.1250 0.7500

***

(7)
This record from Alexandria describes Sr3RuN after structural relaxation. The functional is PBE.

Summary:
As for the energy relative to the elements, uncorrected: 0.1625 eV/atom. The energy above the most stable polymorph in this dataset comes out at 0 meV per atom. As for the electronic total energy: -4.3668 eV per atom.

a b c (Å): 5.1407 5.1407 5.1407
angles (deg): 90.00 90.00 90.00
Fractional coordinates of all 5 atoms:
Sr 0.0000 0.0000 0.5000
Sr 0.0000 0.5000 0.0000
Sr 0.5000 0.0000 0.0000
Ru 0.5000 0.5000 0.5000
N 0.0000 0.0000 0.0000

***

(8)
This record from Alexandria describes Sr3Ru3N5 after structural relaxation. The functional is PBE.

Summary:
As for the energy relative to the elements, uncorrected: -0.2329 eV/atom. As for the electronic total energy: -7.0057 eV per atom.

a b c (Å): 5.8935 7.2689 9.3620
angles (deg): 110.83 104.69 93.34
Fractional coordinates of all 22 atoms:
Sr 0.1585 0.3629 0.3897
Sr 0.1609 0.1914 0.7120
Sr 0.3223 0.9219 0.1170
Sr 0.6777 0.0781 0.8830
Sr 0.8391 0.8086 0.2880
Sr 0.8415 0.6371 0.6103
Ru 0.1545 0.4239 0.0901
Ru 0.3969 0.8244 0.4725
Ru 0.4064 0.6272 0.7915
Ru 0.5936 0.3728 0.2085
Ru 0.6031 0.1756 0.5275
Ru 0.8455 0.5761 0.9099
N 0.1378 0.5862 0.8605
N 0.2399 0.0373 0.4179
N 0.3163 0.1994 0.0022
N 0.3449 0.7378 0.6312
N 0.4129 0.6099 0.2806
N 0.5871 0.3901 0.7194
N 0.6551 0.2622 0.3688
N 0.6837 0.8006 0.9978
N 0.7601 0.9627 0.5821
N 0.8622 0.4138 0.1395